(1)
ReIr4 | GGA-PBE | relaxed

For the calculated volume, the calculation gives 291.6 Å³ per cell. For the energy above the most stable polymorph in this dataset, the calculation gives 12 meV per atom.

Cell lengths 9.272, 4.778, 7.060 Å; angles 90.00, 111.21, 90.00 degrees
Space group C2 (No. 5)
Unique sites:
1 Re 0.102 0.000 0.205 x4
2 Ir 0.000 0.491 0.000 x2
3 Ir 0.000 0.832 0.500 x2
4 Ir 0.101 0.333 0.699 x4
5 Ir 0.195 0.832 0.902 x4
6 Ir 0.199 0.496 0.395 x4

---

(2)
ReIr2 | GGA-PBE | relaxed

For the calculated volume, the calculation gives 218.3 Å³ per cell. For the energy above the most stable polymorph in this dataset, the calculation gives 1096 meV per atom.

Cell lengths 6.021, 6.021, 6.021 Å; angles 90.00, 90.00, 90.00 degrees
Space group Pa-3 (No. 205)
Unique sites:
1 Re 0.000 0.000 0.000 x4
2 Ir 0.117 0.617 0.883 x8

---

(3)
Re7Ir | GGA-PBE | relaxed

For the calculated total energy, the calculation gives -12.020 eV/atom. For the calculated volume, the calculation gives 476.6 Å³ per cell.

Cell lengths 7.811, 7.811, 7.811 Å; angles 90.00, 90.00, 90.00 degrees
Space group Fm-3m (No. 225)
Unique sites:
1 Re 0.000 0.000 0.000 x4
2 Re 0.000 0.250 0.250 x24
3 Ir 0.000 0.000 0.500 x4